#one
PmNd2Ga | PBE-GGA | relaxed

a b c (Å): 10.695 10.695 10.695
angles (deg): 20.15 20.15 20.15
Fractional coordinates of all 4 atoms:
Pm 0.000 0.000 0.000
Nd 0.570 0.570 0.570
Nd 0.763 0.763 0.763
Ga 0.166 0.166 0.166

Values from the calculation:
total magnetization: 0.00 μB per formula unit
space group: No. 160



#two
PmNd2Ga | PBE-GGA | relaxed

a b c (Å): 6.439 6.439 9.469
angles (deg): 90.00 90.00 141.31
Fractional coordinates of all 8 atoms:
Pm 0.061 0.939 0.750
Pm 0.939 0.061 0.250
Nd 0.358 0.642 0.554
Nd 0.358 0.642 0.946
Nd 0.642 0.358 0.054
Nd 0.642 0.358 0.446
Ga 0.255 0.745 0.250
Ga 0.745 0.255 0.750

Values from the calculation:
total magnetization: 0.00 μB per formula unit
space group: No. 63



#three
PmNd2Ga | PBE-GGA | relaxed

a b c (Å): 6.802 6.802 7.153
angles (deg): 90.00 90.00 132.95
Fractional coordinates of all 8 atoms:
Pm 0.061 0.939 0.750
Pm 0.939 0.061 0.250
Nd 0.362 0.638 0.526
Nd 0.362 0.638 0.974
Nd 0.638 0.362 0.026
Nd 0.638 0.362 0.474
Ga 0.177 0.823 0.250
Ga 0.823 0.177 0.750

Values from the calculation:
total magnetization: 0.00 μB per formula unit
space group: No. 63



#four
PmNd2Ga | PBE-GGA | relaxed

a b c (Å): 3.622 3.622 9.189
angles (deg): 90.00 90.00 90.00
Fractional coordinates of all 4 atoms:
Pm 0.000 0.000 0.000
Nd 0.500 0.500 0.291
Nd 0.500 0.500 0.709
Ga 0.000 0.000 0.500

Values from the calculation:
total magnetization: 0.00 μB per formula unit
space group: No. 123



Most stable structure - #four; separation to the second - 7 meV/atom.



#one
PmNd3Ga | PBE-GGA | relaxed

a b c (Å): 7.637 7.637 7.885
angles (deg): 121.07 121.07 74.69
Fractional coordinates of all 10 atoms:
Pm 0.060 0.060 0.348
Pm 0.940 0.940 0.652
Nd 0.057 0.437 0.212
Nd 0.437 0.057 0.212
Nd 0.440 0.440 0.723
Nd 0.560 0.560 0.277
Nd 0.563 0.943 0.788
Nd 0.943 0.563 0.788
Ga 0.249 0.249 0.874
Ga 0.751 0.751 0.126

Values from the calculation:
total magnetization: 0.00 μB per formula unit
space group: No. 12



#two
PmNd3Ga | PBE-GGA | relaxed

a b c (Å): 3.772 8.712 9.960
angles (deg): 76.77 79.11 89.96
Fractional coordinates of all 10 atoms:
Pm 0.094 0.042 0.314
Pm 0.906 0.958 0.686
Nd 0.303 0.180 0.894
Nd 0.314 0.619 0.869
Nd 0.498 0.302 0.499
Nd 0.502 0.698 0.501
Nd 0.686 0.381 0.131
Nd 0.697 0.820 0.106
Ga 0.105 0.568 0.291
Ga 0.895 0.432 0.709

Values from the calculation:
total magnetization: 0.00 μB per formula unit
space group: No. 2



Most stable structure - #two; separation to the second - 128 meV/atom.



#one
Pm3NdGa | PBE-GGA | relaxed

a b c (Å): 7.609 7.609 7.865
angles (deg): 121.09 121.09 74.35
Fractional coordinates of all 10 atoms:
Pm 0.051 0.431 0.206
Pm 0.061 0.061 0.351
Pm 0.431 0.051 0.206
Pm 0.569 0.949 0.794
Pm 0.939 0.939 0.649
Pm 0.949 0.569 0.794
Nd 0.440 0.440 0.721
Nd 0.560 0.560 0.279
Ga 0.249 0.249 0.875
Ga 0.751 0.751 0.125

Values from the calculation:
total magnetization: 0.00 μB per formula unit
space group: No. 12



#two
Pm3NdGa | PBE-GGA | relaxed

a b c (Å): 3.764 8.660 9.920
angles (deg): 76.70 79.10 89.96
Fractional coordinates of all 10 atoms:
Pm 0.002 0.197 0.000
Pm 0.186 0.883 0.631
Pm 0.196 0.316 0.606
Pm 0.804 0.684 0.394
Pm 0.814 0.117 0.369
Pm 0.998 0.803 0.000
Nd 0.405 0.457 0.187
Nd 0.595 0.543 0.813
Ga 0.396 0.933 0.207
Ga 0.604 0.067 0.793

Values from the calculation:
total magnetization: 0.00 μB per formula unit
space group: No. 2



Most stable structure - #two; separation to the second - 136 meV/atom.



#one
PmNd3Ga4 | PBE-GGA | relaxed

a b c (Å): 3.690 3.690 14.762
angles (deg): 90.00 90.00 90.00
Fractional coordinates of all 8 atoms:
Pm 0.000 0.000 0.000
Nd 0.000 0.000 0.249
Nd 0.000 0.000 0.500
Nd 0.000 0.000 0.751
Ga 0.500 0.500 0.123
Ga 0.500 0.500 0.375
Ga 0.500 0.500 0.625
Ga 0.500 0.500 0.877

Values from the calculation:
total magnetization: 0.00 μB per formula unit
space group: No. 123



#two
PmNd3Ga4 | PBE-GGA | relaxed

a b c (Å): 9.406 9.406 9.406
angles (deg): 157.14 136.73 49.49
Fractional coordinates of all 8 atoms:
Pm 0.000 0.000 0.000
Nd 0.202 0.702 0.500
Nd 0.500 0.500 0.000
Nd 0.798 0.298 0.500
Ga 0.181 0.871 0.310
Ga 0.440 0.129 0.310
Ga 0.560 0.871 0.690
Ga 0.819 0.129 0.690

Values from the calculation:
total magnetization: 0.00 μB per formula unit
space group: No. 71



Most stable structure - #one; separation to the second - 132 meV/atom.



#one
PmNdGaSi | PBE-GGA | relaxed

a b c (Å): 4.054 6.001 6.001
angles (deg): 43.40 90.00 90.00
Fractional coordinates of all 4 atoms:
Pm 0.000 0.000 0.000
Nd 0.500 0.718 0.718
Ga 0.500 0.430 0.430
Si 0.000 0.288 0.288

Values from the calculation:
total magnetization: 0.20 μB per formula unit
space group: No. 38



#two
PmNdGaSi | PBE-GGA | relaxed

a b c (Å): 5.170 5.170 5.170
angles (deg): 60.00 60.00 60.00
Fractional coordinates of all 4 atoms:
Pm 0.000 0.000 0.000
Nd 0.500 0.500 0.500
Ga 0.250 0.250 0.250
Si 0.750 0.750 0.750

Values from the calculation:
total magnetization: 0.00 μB per formula unit
space group: No. 216



Most stable structure - #one; separation to the second - 232 meV/atom.



#one
PrNd3Ga4 | PBE-GGA | relaxed

a b c (Å): 9.452 9.452 9.452
angles (deg): 157.35 136.69 49.42
Fractional coordinates of all 8 atoms:
Pr 0.000 0.000 0.000
Nd 0.202 0.702 0.500
Nd 0.500 0.500 0.000
Nd 0.798 0.298 0.500
Ga 0.181 0.870 0.312
Ga 0.442 0.130 0.312
Ga 0.558 0.870 0.688
Ga 0.819 0.130 0.688

Values from the calculation:
total magnetization: 0.00 μB per formula unit
space group: No. 71



#two
PrNd3Ga4 | PBE-GGA | relaxed

a b c (Å): 10.470 7.416 5.236
angles (deg): 90.00 90.00 90.00
Fractional coordinates of all 16 atoms:
Pr 0.000 0.000 0.000
Pr 0.500 0.000 0.000
Nd 0.000 0.500 0.000
Nd 0.250 0.000 0.498
Nd 0.250 0.500 0.499
Nd 0.500 0.500 0.000
Nd 0.750 0.000 0.502
Nd 0.750 0.500 0.501
Ga 0.000 0.252 0.500
Ga 0.000 0.748 0.500
Ga 0.250 0.252 0.998
Ga 0.250 0.748 0.998
Ga 0.500 0.252 0.500
Ga 0.500 0.748 0.500
Ga 0.750 0.252 0.002
Ga 0.750 0.748 0.002

Values from the calculation:
total magnetization: 0.00 μB per formula unit
space group: No. 51



Most stable structure - #two; separation to the second - 128 meV/atom.